Entry 1:
A plane-wave DFT calculation with GGA-PBE was carried out for a geometry-optimized NbV2Re structure.

Results
Space group: Pmma
Calculated total energy (Ry per atom): -0.763
Formation energy (meV per atom): -188.9

abc: 3.0819 4.3777 8.8342
angles: 90.00 90.00 90.00
Closest atoms and distances in Å follow each position.
Sites, in units of the cell vectors:
Nb 0.5000 0.2500 0.8720  8 V 2.68-2.80
Nb 0.5000 0.7500 0.1280  8 V 2.68-2.80
V 0.0000 0.2500 0.1373  2 Re 2.63, 6 Nb 2.68-2.80
V 0.0000 0.7500 0.8627  2 Re 2.63, 6 Nb 2.68-2.80
V 0.0000 0.2500 0.6164  6 Re 2.60-2.68, 2 Nb 2.73
V 0.0000 0.7500 0.3836  6 Re 2.60-2.68, 2 Nb 2.73
Re 0.5000 0.2500 0.3789  8 V 2.60-2.68
Re 0.5000 0.7500 0.6211  8 V 2.60-2.68


Entry 2:
A plane-wave DFT calculation with GGA-PBE was carried out for a geometry-optimized LaPuTlO6 structure.

Results
Space group: P-31c
Formation energy from raw total energies (kJ per mole of atoms): -215
Calculated total energy (Ry per atom): -0.583

abc: 5.6949 5.6949 10.3822
angles: 90.00 90.00 120.00
Closest atoms and distances in Å follow each position.
Sites, in units of the cell vectors:
La 0.0000 0.0000 0.0000  6 O 2.45
La 0.0000 0.0000 0.5000  6 O 2.45
Pu 0.6667 0.3333 0.2500  6 O 2.08
Pu 0.3333 0.6667 0.7500  6 O 2.08
Tl 0.3333 0.6667 0.2500  6 O 2.31
Tl 0.6667 0.3333 0.7500  6 O 2.31
O 0.6649 0.6343 0.1366  1 Pu 2.08, 1 Tl 2.31
O 0.9694 0.3351 0.1366  1 Pu 2.08, 1 Tl 2.31
O 0.3351 0.9694 0.6366  1 Pu 2.08, 1 Tl 2.31
O 0.0306 0.6649 0.8634  1 Pu 2.08, 1 Tl 2.31
O 0.3657 0.3351 0.3634  1 Pu 2.08, 1 Tl 2.31
O 0.9694 0.6343 0.3634  1 Pu 2.08, 1 Tl 2.31
O 0.6343 0.9694 0.8634  1 Pu 2.08, 1 Tl 2.31
O 0.6649 0.0306 0.3634  1 Pu 2.08, 1 Tl 2.31
O 0.0306 0.3657 0.6366  1 Pu 2.08, 1 Tl 2.31
O 0.3657 0.0306 0.1366  1 Pu 2.08, 1 Tl 2.31
O 0.6343 0.6649 0.6366  1 Pu 2.08, 1 Tl 2.31
O 0.3351 0.3657 0.8634  1 Pu 2.08, 1 Tl 2.31


Entry 3:
A plane-wave DFT calculation with GGA-PBE was carried out for a geometry-optimized Ca3PRh structure.

Results
Space group: Pm-3m
Calculated total energy (Ry per atom): -0.294
Formation energy (meV per atom): -245.2
Polymorph energy (0 for the lowest one) (eV per atom): 0.000

abc: 5.2554 5.2554 5.2554
angles: 90.00 90.00 90.00
Closest atoms and distances in Å follow each position.
Sites, in units of the cell vectors:
P 0.5000 0.5000 0.5000  12 Ca 3.72
Ca 0.0000 0.5000 0.0000  2 Rh 2.63
Ca 0.0000 0.0000 0.5000  2 Rh 2.63
Ca 0.5000 0.0000 0.0000  2 Rh 2.63
Rh 0.0000 0.0000 0.0000  6 Ca 2.63


Entry 4:
A plane-wave DFT calculation with GGA-PBE was carried out for a geometry-optimized Ti8Ge2W structure.

Results
Space group: C2/m
Calculated total energy (Ry per atom): -0.588
Formation energy (meV per atom): -240.9

abc: 4.0328 6.8956 7.6256
angles: 114.77 105.33 90.00
Closest atoms and distances in Å follow each position.
Sites, in units of the cell vectors:
Ti 0.4163 0.5505 0.8326  2 Ge 2.62, 4 Ti 2.72-2.91, 1 W 2.79
Ti 0.6751 0.9181 0.3502  3 Ge 2.66-2.75, 5 Ti 2.72-2.91, 1 W 2.87
Ti 0.8282 0.7403 0.6564  3 Ge 2.68-2.70, 5 Ti 2.94-3.00
Ti 0.9626 0.2087 0.9252  2 W 2.67, 6 Ti 2.72-2.97, 1 Ge 2.79
Ti 0.1718 0.2597 0.3436  3 Ge 2.68-2.70, 5 Ti 2.94-3.00
Ti 0.3249 0.0819 0.6498  3 Ge 2.66-2.75, 5 Ti 2.72-2.91, 1 W 2.87
Ti 0.5837 0.4495 0.1674  2 Ge 2.62, 4 Ti 2.72-2.91, 1 W 2.79
Ti 0.0374 0.7913 0.0748  2 W 2.67, 6 Ti 2.72-2.97, 1 Ge 2.79
Ge 0.8053 0.3329 0.6106  9 Ti 2.62-2.79
Ge 0.1947 0.6671 0.3894  9 Ti 2.62-2.79
W 0.5000 0.0000 0.0000  8 Ti 2.67-2.87


Entry 5:
A plane-wave DFT calculation with GGA-PBE was carried out for a geometry-optimized YCo2Pb structure.

Results
Space group: P4/mmm
Calculated total energy (Ry per atom): -0.441
Formation energy (meV per atom): 92.3

abc: 4.5169 4.5169 3.4749
angles: 90.00 90.00 90.00
Closest atoms and distances in Å follow each position.
Sites, in units of the cell vectors:
Co 0.0000 0.0000 0.0000  4 Pb 2.85, 4 Y 2.85
Co 0.5000 0.5000 0.0000  4 Y 2.85, 4 Pb 2.85
Pb 0.5000 0.0000 0.5000  8 Co 2.85
Y 0.0000 0.5000 0.5000  8 Co 2.85


Entry 6:
A plane-wave DFT calculation with GGA-PBE was carried out for a geometry-optimized CaTeRu3 structure.

Results
Space group: Pm-3m
Formation energy from raw total energies (kJ per mole of atoms): 198
Calculated total energy (Ry per atom): -0.334
Polymorph energy (0 for the lowest one) (eV per atom): 1.198

abc: 4.7143 4.7143 4.7143
angles: 90.00 90.00 90.00
Closest atoms and distances in Å follow each position.
Sites, in units of the cell vectors:
Ru 0.0000 0.5000 0.0000  2 Ca 2.36
Ru 0.0000 0.0000 0.5000  2 Ca 2.36
Ru 0.5000 0.0000 0.0000  2 Ca 2.36
Ca 0.0000 0.0000 0.0000  6 Ru 2.36
Te 0.5000 0.5000 0.5000  12 Ru 3.33


Entry 7:
A plane-wave DFT calculation with GGA-PBE was carried out for a geometry-optimized SrAcAlCd structure.

Results
Space group: F-43m
Calculated total energy (Ry per atom): -0.210
Formation energy (meV per atom): -245.9
Polymorph energy (0 for the lowest one) (eV per atom): 0.000

abc: 5.6903 5.6903 5.6903
angles: 60.00 60.00 60.00
Closest atoms and distances in Å follow each position.
Sites, in units of the cell vectors:
Sr 0.7500 0.7500 0.7500  4 Al 3.48, 4 Cd 3.48
Ac 0.2500 0.2500 0.2500  4 Cd 3.48, 4 Al 3.48
Al 0.5000 0.5000 0.5000  4 Ac 3.48, 4 Sr 3.48
Cd 0.0000 0.0000 0.0000  4 Ac 3.48, 4 Sr 3.48


Entry 8:
A plane-wave DFT calculation with GGA-PBE was carried out for a geometry-optimized K3BaCu4Cl12 structure.

Results
Space group: R32
Formation energy from raw total energies (kJ per mole of atoms): -115
Calculated total energy (Ry per atom): -0.249

abc: 9.1741 9.1741 9.1741
angles: 101.45 101.45 101.45
Closest atoms and distances in Å follow each position.
Sites, in units of the cell vectors:
K 0.5369 0.4631 0.0000  6 Cl 3.08-3.26
K 0.4631 0.0000 0.5369  6 Cl 3.08-3.26
K 0.0000 0.5369 0.4631  6 Cl 3.08-3.26
Ba 0.0000 0.0000 0.0000  6 Cl 3.17
Cu 0.9535 0.0465 0.5000  3 Cl 2.18-2.19
Cu 0.0465 0.5000 0.9535  3 Cl 2.18-2.19
Cu 0.5000 0.9535 0.0465  3 Cl 2.18-2.19
Cu 0.5000 0.5000 0.5000  3 Cl 2.17
Cl 0.5000 0.3474 0.6526  1 Cu 2.17
Cl 0.8920 0.5000 0.1080  1 Cu 2.19
Cl 0.1080 0.8920 0.5000  1 Cu 2.19
Cl 0.5000 0.1080 0.8920  1 Cu 2.19
Cl 0.3263 0.9784 0.1753  1 Cu 2.18
Cl 0.1753 0.3263 0.9784  1 Cu 2.18
Cl 0.9784 0.1753 0.3263  1 Cu 2.18
Cl 0.6737 0.8247 0.0216  1 Cu 2.18
Cl 0.0216 0.6737 0.8247  1 Cu 2.18
Cl 0.8247 0.0216 0.6737  1 Cu 2.18
Cl 0.6526 0.5000 0.3474  1 Cu 2.17
Cl 0.3474 0.6526 0.5000  1 Cu 2.17


> Which value of calculated total energy does entry 2 give?

-0.583 Ry per atom